No. 1
The following is a DFT calculation (GGA-PBEsol) of KRu2Rh after structural relaxation.

Cell and atoms, written as POSCAR:
```
KRu2Rh
1.0
2.7292 0.0000 0.0000
0.0000 4.7237 0.0000
0.0000 0.0000 4.8811
K Ru Rh
1 2 1
direct
0.0000 0.0000 0.0000 K
0.0000 0.5000 0.5000 Ru
0.5000 0.0000 0.5000 Ru
0.5000 0.5000 0.0000 Rh
```

crystal system: orthorhombic
density of states at the Fermi level: 6.29 states/eV per cell
energy: -6.12 eV/atom

---

No. 2
The following is a DFT calculation (GGA-PBEsol) of CsMg2Pt after structural relaxation.

Cell and atoms, written as POSCAR:
```
CsMg2Pt
1.0
0.0000 3.6608 3.6608
3.6608 0.0000 3.6608
3.6608 3.6608 0.0000
Cs Mg Pt
1 2 1
direct
0.0000 0.0000 0.0000 Cs
0.2500 0.2500 0.2500 Mg
0.7500 0.7500 0.7500 Mg
0.5000 0.5000 0.5000 Pt
```

crystal system: cubic
density of states at the Fermi level: 2.24 states/eV per cell
energy: -2.53 eV/atom

---

| no. | ΔE_f (eV per atom) |
| --- | --- |
| 1 | 1.288 |
| 2 | 0.301 |